Entry 1:
# PBEsol BaIn2Ag, relaxed
data_BaIn2Ag
_cell_length_a 4.704
_cell_length_b 4.704
_cell_length_c 6.757
_cell_angle_alpha 69.63
_cell_angle_beta 69.63
_cell_angle_gamma 60.00
_space_group_name_H-M_alt 'P 1'
_space_group_IT_number 1
loop_
_space_group_symop_operation_xyz
'x,y,z'
loop_
_atom_site_label
_atom_site_fract_x
_atom_site_fract_y
_atom_site_fract_z
Ba1 0.000 0.000 0.000
Ag1 0.500 0.500 0.500
In1 0.790 0.790 0.630
In2 0.210 0.210 0.370
# DFT total energy ... -3.17 eV per atom

=====

Entry 2:
# PBEsol Ba3InAg, relaxed
data_Ba3InAg
_cell_length_a 6.197
_cell_length_b 6.197
_cell_length_c 6.197
_cell_angle_alpha 90.00
_cell_angle_beta 90.00
_cell_angle_gamma 90.00
_space_group_name_H-M_alt 'P 1'
_space_group_IT_number 1
loop_
_space_group_symop_operation_xyz
'x,y,z'
loop_
_atom_site_label
_atom_site_fract_x
_atom_site_fract_y
_atom_site_fract_z
Ba1 0.000 0.500 0.000
Ba2 0.000 0.000 0.500
Ba3 0.500 0.000 0.000
Ag1 0.000 0.000 0.000
In1 0.500 0.500 0.500
# DFT total energy ... -2.51 eV per atom

=====

Entry 3:
# PBEsol BaInAg, relaxed
data_BaInAg
_cell_length_a 3.735
_cell_length_b 3.735
_cell_length_c 6.635
_cell_angle_alpha 106.35
_cell_angle_beta 106.35
_cell_angle_gamma 90.00
_space_group_name_H-M_alt 'P 1'
_space_group_IT_number 1
loop_
_space_group_symop_operation_xyz
'x,y,z'
loop_
_atom_site_label
_atom_site_fract_x
_atom_site_fract_y
_atom_site_fract_z
Ba1 0.337 0.337 0.674
Ag1 0.032 0.032 0.064
In1 0.631 0.631 0.262
# DFT total energy ... -3.03 eV per atom

=====

Entry 4:
# PBEsol BaInAg2, relaxed
data_BaInAg2
_cell_length_a 3.720
_cell_length_b 3.720
_cell_length_c 7.377
_cell_angle_alpha 90.00
_cell_angle_beta 90.00
_cell_angle_gamma 90.00
_space_group_name_H-M_alt 'P 1'
_space_group_IT_number 1
loop_
_space_group_symop_operation_xyz
'x,y,z'
loop_
_atom_site_label
_atom_site_fract_x
_atom_site_fract_y
_atom_site_fract_z
Ba1 0.500 0.500 0.000
Ag1 0.000 0.000 0.693
Ag2 0.000 0.000 0.307
In1 0.500 0.500 0.500
# DFT total energy ... -3.02 eV per atom

=====

Entry 5:
# PBEsol BaInAg2, relaxed
data_BaInAg2
_cell_length_a 4.784
_cell_length_b 4.784
_cell_length_c 6.228
_cell_angle_alpha 67.41
_cell_angle_beta 67.41
_cell_angle_gamma 60.00
_space_group_name_H-M_alt 'P 1'
_space_group_IT_number 1
loop_
_space_group_symop_operation_xyz
'x,y,z'
loop_
_atom_site_label
_atom_site_fract_x
_atom_site_fract_y
_atom_site_fract_z
Ba1 0.500 0.500 0.500
Ag1 0.303 0.303 0.092
Ag2 0.697 0.697 0.908
In1 0.000 0.000 0.000
# DFT total energy ... -3.20 eV per atom

=====

Entry 6:
# PBEsol BaIn2Ag, relaxed
data_BaIn2Ag
_cell_length_a 4.622
_cell_length_b 4.622
_cell_length_c 5.229
_cell_angle_alpha 90.00
_cell_angle_beta 90.00
_cell_angle_gamma 90.00
_space_group_name_H-M_alt 'P 1'
_space_group_IT_number 1
loop_
_space_group_symop_operation_xyz
'x,y,z'
loop_
_atom_site_label
_atom_site_fract_x
_atom_site_fract_y
_atom_site_fract_z
Ba1 0.000 0.000 0.500
Ag1 0.500 0.500 0.500
In1 0.000 0.500 0.000
In2 0.500 0.000 0.000
# DFT total energy ... -2.98 eV per atom

=====

Entry 7:
# PBEsol BaIn2Ag, relaxed
data_BaIn2Ag
_cell_length_a 5.322
_cell_length_b 5.321
_cell_length_c 5.321
_cell_angle_alpha 60.06
_cell_angle_beta 59.99
_cell_angle_gamma 59.99
_space_group_name_H-M_alt 'P 1'
_space_group_IT_number 1
loop_
_space_group_symop_operation_xyz
'x,y,z'
loop_
_atom_site_label
_atom_site_fract_x
_atom_site_fract_y
_atom_site_fract_z
Ba1 0.250 0.250 0.250
Ag1 0.500 0.500 0.500
In1 0.000 0.000 0.000
In2 0.750 0.750 0.750
# DFT total energy ... -3.08 eV per atom

=====

Entry 8:
# PBEsol BaInAg2, relaxed
data_BaInAg2
_cell_length_a 4.747
_cell_length_b 4.746
_cell_length_c 6.372
_cell_angle_alpha 112.08
_cell_angle_beta 90.00
_cell_angle_gamma 120.01
_space_group_name_H-M_alt 'P 1'
_space_group_IT_number 1
loop_
_space_group_symop_operation_xyz
'x,y,z'
loop_
_atom_site_label
_atom_site_fract_x
_atom_site_fract_y
_atom_site_fract_z
Ba1 0.496 0.992 0.490
Ag1 0.013 0.025 0.037
Ag2 0.694 0.389 0.082
In1 0.297 0.594 0.891
# DFT total energy ... -3.17 eV per atom

=====

Entry 9:
# PBEsol BaInAgOs2, relaxed
data_BaInAgOs2
_cell_length_a 4.912
_cell_length_b 4.912
_cell_length_c 5.853
_cell_angle_alpha 90.00
_cell_angle_beta 90.00
_cell_angle_gamma 90.00
_space_group_name_H-M_alt 'P 1'
_space_group_IT_number 1
loop_
_space_group_symop_operation_xyz
'x,y,z'
loop_
_atom_site_label
_atom_site_fract_x
_atom_site_fract_y
_atom_site_fract_z
Os1 0.000 0.500 0.000
Os2 0.500 0.000 0.000
Ba1 0.000 0.000 0.500
Ag1 0.500 0.500 0.500
In1 0.000 0.000 0.000
# DFT total energy ... -4.53 eV per atom

=====

Entry 10:
# PBEsol BaAg2Ir, relaxed
data_BaAg2Ir
_cell_length_a 4.320
_cell_length_b 4.320
_cell_length_c 4.426
_cell_angle_alpha 90.00
_cell_angle_beta 90.00
_cell_angle_gamma 90.00
_space_group_name_H-M_alt 'P 1'
_space_group_IT_number 1
loop_
_space_group_symop_operation_xyz
'x,y,z'
loop_
_atom_site_label
_atom_site_fract_x
_atom_site_fract_y
_atom_site_fract_z
Ir1 0.000 0.000 0.500
Ba1 0.500 0.500 0.500
Ag1 0.000 0.500 0.000
Ag2 0.500 0.000 0.000
# DFT total energy ... -4.25 eV per atom

=====

Entry 11:
# PBEsol Ba3AgIr, relaxed
data_Ba3AgIr
_cell_length_a 5.934
_cell_length_b 5.934
_cell_length_c 5.934
_cell_angle_alpha 90.00
_cell_angle_beta 90.00
_cell_angle_gamma 90.00
_space_group_name_H-M_alt 'P 1'
_space_group_IT_number 1
loop_
_space_group_symop_operation_xyz
'x,y,z'
loop_
_atom_site_label
_atom_site_fract_x
_atom_site_fract_y
_atom_site_fract_z
Ir1 0.000 0.000 0.000
Ba1 0.000 0.500 0.000
Ba2 0.000 0.000 0.500
Ba3 0.500 0.000 0.000
Ag1 0.500 0.500 0.500
# DFT total energy ... -3.84 eV per atom

=====

Entry 12:
# PBEsol BaAg2Ir, relaxed
data_BaAg2Ir
_cell_length_a 4.953
_cell_length_b 4.953
_cell_length_c 4.953
_cell_angle_alpha 60.00
_cell_angle_beta 60.00
_cell_angle_gamma 60.00
_space_group_name_H-M_alt 'P 1'
_space_group_IT_number 1
loop_
_space_group_symop_operation_xyz
'x,y,z'
loop_
_atom_site_label
_atom_site_fract_x
_atom_site_fract_y
_atom_site_fract_z
Ir1 0.250 0.250 0.250
Ba1 0.500 0.500 0.500
Ag1 0.000 0.000 0.000
Ag2 0.750 0.750 0.750
# DFT total energy ... -4.13 eV per atom

=====

Entry 13:
# PBEsol K2BaAg, relaxed
data_K2BaAg
_cell_length_a 5.119
_cell_length_b 5.136
_cell_length_c 6.786
_cell_angle_alpha 90.00
_cell_angle_beta 90.00
_cell_angle_gamma 94.66
_space_group_name_H-M_alt 'P 1'
_space_group_IT_number 1
loop_
_space_group_symop_operation_xyz
'x,y,z'
loop_
_atom_site_label
_atom_site_fract_x
_atom_site_fract_y
_atom_site_fract_z
Ag1 0.000 0.500 0.500
Ba1 0.500 0.000 0.500
K1 0.214 0.285 0.000
K2 0.786 0.715 0.000
# DFT total energy ... -1.75 eV per atom

=====

Entry 14:
# PBEsol KBaAg2, relaxed
data_KBaAg2
_cell_length_a 4.735
_cell_length_b 4.733
_cell_length_c 6.686
_cell_angle_alpha 90.00
_cell_angle_beta 90.00
_cell_angle_gamma 90.00
_space_group_name_H-M_alt 'P 1'
_space_group_IT_number 1
loop_
_space_group_symop_operation_xyz
'x,y,z'
loop_
_atom_site_label
_atom_site_fract_x
_atom_site_fract_y
_atom_site_fract_z
Ag1 0.000 0.000 0.500
Ag2 0.500 0.500 0.000
Ba1 0.000 0.000 0.000
K1 0.500 0.500 0.500
# DFT total energy ... -2.33 eV per atom

=====

Entry 15:
# PBEsol KBa3Ag, relaxed
data_KBa3Ag
_cell_length_a 6.545
_cell_length_b 6.545
_cell_length_c 6.545
_cell_angle_alpha 90.00
_cell_angle_beta 90.00
_cell_angle_gamma 90.00
_space_group_name_H-M_alt 'P 1'
_space_group_IT_number 1
loop_
_space_group_symop_operation_xyz
'x,y,z'
loop_
_atom_site_label
_atom_site_fract_x
_atom_site_fract_y
_atom_site_fract_z
K1 0.500 0.500 0.500
Ba1 0.000 0.500 0.000
Ba2 0.000 0.000 0.500
Ba3 0.500 0.000 0.000
Ag1 0.000 0.000 0.000
# DFT total energy ... -2.19 eV per atom

=====

Entry 16:
# PBEsol KBaAg2, relaxed
data_KBaAg2
_cell_length_a 4.784
_cell_length_b 4.784
_cell_length_c 6.199
_cell_angle_alpha 112.70
_cell_angle_beta 112.70
_cell_angle_gamma 90.00
_space_group_name_H-M_alt 'P 1'
_space_group_IT_number 1
loop_
_space_group_symop_operation_xyz
'x,y,z'
loop_
_atom_site_label
_atom_site_fract_x
_atom_site_fract_y
_atom_site_fract_z
Ag1 0.000 0.000 0.000
Ag2 0.750 0.250 0.500
Ba1 0.500 0.500 0.000
K1 0.250 0.750 0.500
# DFT total energy ... -2.38 eV per atom

=====

Entry 17:
# PBEsol KBa2Ag, relaxed
data_KBa2Ag
_cell_length_a 4.747
_cell_length_b 4.747
_cell_length_c 11.527
_cell_angle_alpha 78.12
_cell_angle_beta 78.12
_cell_angle_gamma 60.00
_space_group_name_H-M_alt 'P 1'
_space_group_IT_number 1
loop_
_space_group_symop_operation_xyz
'x,y,z'
loop_
_atom_site_label
_atom_site_fract_x
_atom_site_fract_y
_atom_site_fract_z
K1 0.500 0.500 0.500
Ba1 0.280 0.280 0.160
Ba2 0.720 0.720 0.840
Ag1 0.000 0.000 0.000
# DFT total energy ... -2.23 eV per atom

=====

Entry 18:
# PBEsol KBa2Ag, relaxed
data_KBa2Ag
_cell_length_a 4.085
_cell_length_b 4.085
_cell_length_c 11.066
_cell_angle_alpha 90.00
_cell_angle_beta 90.00
_cell_angle_gamma 90.00
_space_group_name_H-M_alt 'P 1'
_space_group_IT_number 1
loop_
_space_group_symop_operation_xyz
'x,y,z'
loop_
_atom_site_label
_atom_site_fract_x
_atom_site_fract_y
_atom_site_fract_z
K1 0.500 0.500 0.000
Ba1 0.000 0.000 0.671
Ba2 0.000 0.000 0.329
Ag1 0.500 0.500 0.500
# DFT total energy ... -2.26 eV per atom

=====

Entry 19:
# PBEsol KBa2Ag2, relaxed
data_KBa2Ag2
_cell_length_a 4.592
_cell_length_b 8.983
_cell_length_c 8.983
_cell_angle_alpha 90.00
_cell_angle_beta 90.00
_cell_angle_gamma 90.00
_space_group_name_H-M_alt 'P 1'
_space_group_IT_number 1
loop_
_space_group_symop_operation_xyz
'x,y,z'
loop_
_atom_site_label
_atom_site_fract_x
_atom_site_fract_y
_atom_site_fract_z
K1 0.000 0.000 0.000
K2 0.000 0.500 0.500
Ba1 0.500 0.166 0.666
Ba2 0.500 0.666 0.834
Ba3 0.500 0.834 0.334
Ba4 0.500 0.334 0.166
Ag1 0.000 0.385 0.885
Ag2 0.000 0.885 0.615
Ag3 0.000 0.615 0.115
Ag4 0.000 0.115 0.385
# DFT total energy ... -2.52 eV per atom

=====

Entry 20:
# PBEsol KBaAg4, relaxed
data_KBaAg4
_cell_length_a 5.874
_cell_length_b 5.874
_cell_length_c 5.874
_cell_angle_alpha 60.00
_cell_angle_beta 60.00
_cell_angle_gamma 60.00
_space_group_name_H-M_alt 'P 1'
_space_group_IT_number 1
loop_
_space_group_symop_operation_xyz
'x,y,z'
loop_
_atom_site_label
_atom_site_fract_x
_atom_site_fract_y
_atom_site_fract_z
K1 0.000 0.000 0.000
Ba1 0.750 0.750 0.750
Ag1 0.374 0.374 0.374
Ag2 0.374 0.374 0.878
Ag3 0.878 0.374 0.374
Ag4 0.374 0.878 0.374
# DFT total energy ... -2.78 eV per atom